[1]
PmAl4V after structural relaxation. Source: Alexandria via LeMat-Bulk, functional PBE-GGA.

theoretical density	4594	kg/m3
total DFT energy (no corrections)	-4.975	eV/atom
DOS(E_F)	1.89	states/eV per cell
total magnetization	0.11	μB/atom

Cell lengths 5.376, 5.376, 5.376 Å; angles 60.00, 60.00, 60.00 degrees
Last column: magnetic moment on the atom in μB.
Fractional positions:
Al 0.625 0.625 0.625  -0.03
Al 0.124 0.625 0.625  -0.03
Al 0.625 0.625 0.124  -0.03
Al 0.625 0.124 0.625  -0.03
V 0.000 0.000 0.000  1.03
Pm 0.250 0.250 0.250  -0.10

=====

[2]
RbCd3Pd after structural relaxation. Source: Alexandria via LeMat-Bulk, functional PBE-GGA.

theoretical density	5543	kg/m3
total DFT energy (no corrections)	-1.911	eV/atom
DOS(E_F)	5.38	states/eV per cell
energy above the lowest structure with this stoichiometry	0.0636	eV per atom
total magnetization	0.00	μB/atom

Cell lengths 7.562, 7.724, 5.480 Å; angles 90.00, 97.93, 90.00 degrees
Fractional positions:
Cd 0.918 0.946 0.238
Rb 0.622 0.750 0.673
Cd 0.082 0.054 0.762
Cd 0.236 0.750 0.062
Pd 0.833 0.250 0.454
Pd 0.167 0.750 0.546
Cd 0.082 0.446 0.762
Cd 0.918 0.554 0.238
Cd 0.764 0.250 0.938
Rb 0.378 0.250 0.327

=====

[3]
Li6InAu10 after structural relaxation. Source: Alexandria via LeMat-Bulk, functional PBE-GGA.

theoretical density	12272	kg/m3
total DFT energy (no corrections)	-3.174	eV/atom
DOS(E_F)	4.54	states/eV per cell
total magnetization	0.00	μB/atom

Cell lengths 5.486, 7.782, 7.782 Å; angles 120.00, 90.00, 90.00 degrees
Fractional positions:
Au 0.815 0.708 0.708
Au 0.000 0.333 0.667
Li 0.302 0.370 0.000
In 0.500 0.000 0.000
Li 0.698 0.630 0.000
Li 0.302 0.630 0.630
Au 0.815 0.292 0.000
Li 0.302 0.000 0.370
Au 0.815 0.000 0.292
Li 0.698 0.370 0.370
Au 0.500 0.667 0.333
Au 0.185 0.292 0.292
Au 0.185 0.708 0.000
Li 0.698 0.000 0.630
Au 0.185 0.000 0.708
Au 0.500 0.333 0.667
Au 0.000 0.667 0.333

=====

[4]
TlGaGe3 after structural relaxation. Source: Alexandria via LeMat-Bulk, functional PBE-GGA.

theoretical density	5149	kg/m3
total DFT energy (no corrections)	-2.826	eV/atom
DOS(E_F)	3.31	states/eV per cell
energy above the lowest structure with this stoichiometry	0.4962	eV per atom
total magnetization	0.00	μB/atom

Cell lengths 5.414, 5.414, 5.414 Å; angles 90.00, 90.00, 90.00 degrees
Fractional positions:
Tl 0.000 0.000 0.000
Ge 0.000 0.000 0.500
Ga 0.500 0.500 0.500
Ge 0.000 0.500 0.000
Ge 0.500 0.000 0.000

=====

[5]
CaPaNi2P2 after structural relaxation. Source: Alexandria via LeMat-Bulk, functional PBE-GGA.

theoretical density	7148	kg/m3
total DFT energy (no corrections)	-6.711	eV/atom
DOS(E_F)	3.92	states/eV per cell
total magnetization	0.00	μB/atom

Cell lengths 3.926, 3.926, 7.838 Å; angles 90.00, 90.00, 120.00 degrees
Fractional positions:
Pa 0.000 0.000 0.000
Ca 0.000 0.000 0.500
P 0.333 0.667 0.243
Ni 0.333 0.667 0.779
P 0.667 0.333 0.757
Ni 0.667 0.333 0.221

=====

[6]
KYTi2 after structural relaxation. Source: Alexandria via LeMat-Bulk, functional PBE-GGA.

theoretical density	3143	kg/m3
total DFT energy (no corrections)	-4.542	eV/atom
DOS(E_F)	7.95	states/eV per cell
energy above the lowest structure with this stoichiometry	0.1599	eV per atom
total magnetization	0.00	μB/atom

Cell lengths 4.587, 4.587, 11.694 Å; angles 78.69, 78.69, 90.00 degrees
Fractional positions:
Ti 0.875 0.237 0.750
K 0.500 0.500 0.000
Ti 0.987 0.125 0.250
Y 0.000 0.000 0.000
K 0.250 0.750 0.500
Ti 0.763 0.625 0.250
Y 0.750 0.250 0.500
Ti 0.375 0.013 0.750

=====

[7]
Hf5H after structural relaxation. Source: Alexandria via LeMat-Bulk, functional PBE-GGA.

theoretical density	12242	kg/m3
total DFT energy (no corrections)	-8.444	eV/atom
DOS(E_F)	6.78	states/eV per cell
total magnetization	0.00	μB/atom

Cell lengths 5.062, 3.047, 8.005 Å; angles 100.97, 90.00, 90.00 degrees
Fractional positions:
Hf 0.500 0.830 0.661
Hf 0.000 0.617 0.233
Hf 0.000 0.383 0.767
Hf 0.500 0.170 0.339
Hf 0.500 0.500 0.000
H 0.000 0.000 0.000

=====

[8]
NbV6Mo3 after structural relaxation. Source: Alexandria via LeMat-Bulk, functional PBE-GGA.

theoretical density	7794	kg/m3
total DFT energy (no corrections)	-9.791	eV/atom
DOS(E_F)	30.16	states/eV per cell
energy above the lowest structure with this stoichiometry	0.0000	eV per atom
total magnetization	0.00	μB/atom

Cell lengths 4.354, 7.547, 10.281 Å; angles 120.03, 90.00, 90.00 degrees
Fractional positions:
Mo 0.750 0.242 0.997
V 0.750 0.242 0.502
V 0.250 0.758 0.498
V 0.250 0.350 0.902
V 0.250 0.550 0.709
Mo 0.250 0.549 0.197
V 0.750 0.854 0.906
V 0.250 0.947 0.798
Mo 0.250 0.149 0.603
V 0.750 0.650 0.098
V 0.750 0.450 0.291
V 0.250 0.945 0.296
V 0.750 0.053 0.202
Nb 0.250 0.346 0.396
Mo 0.750 0.451 0.803
Mo 0.750 0.851 0.397
Nb 0.750 0.654 0.604
V 0.250 0.146 0.094
Mo 0.250 0.758 0.003
V 0.750 0.055 0.704

=====

Question: What is the total DFT energy (no corrections) in the sixth record?
Answer: -4.542 eV/atom

=====

Repeat the third record exactly.
Li6InAu10 after structural relaxation. Source: Alexandria via LeMat-Bulk, functional PBE-GGA.

theoretical density	12272	kg/m3
total DFT energy (no corrections)	-3.174	eV/atom
DOS(E_F)	4.54	states/eV per cell
total magnetization	0.00	μB/atom

Cell lengths 5.486, 7.782, 7.782 Å; angles 120.00, 90.00, 90.00 degrees
Fractional positions:
Au 0.815 0.708 0.708
Au 0.000 0.333 0.667
Li 0.302 0.370 0.000
In 0.500 0.000 0.000
Li 0.698 0.630 0.000
Li 0.302 0.630 0.630
Au 0.815 0.292 0.000
Li 0.302 0.000 0.370
Au 0.815 0.000 0.292
Li 0.698 0.370 0.370
Au 0.500 0.667 0.333
Au 0.185 0.292 0.292
Au 0.185 0.708 0.000
Li 0.698 0.000 0.630
Au 0.185 0.000 0.708
Au 0.500 0.333 0.667
Au 0.000 0.667 0.333